1.
Crystalline Tb2NdDy8 at its relaxed geometry. Source: Alexandria via LeMat-Bulk, functional PBE-GGA.

## Properties
As for the space group: Immm (71). Its density of states at the Fermi level is 15.36 states/eV/cell. The calculated total energy comes out at -4.5090 eV/atom.

Geometry as POSCAR:
```
Tb2NdDy8
1.0
-2.7553 4.0636 7.9707
2.7553 -4.0636 7.9707
2.7553 4.0636 -7.9707
Tb Nd Dy
2 1 8
direct
0.1998 0.1998 0.0000
0.8002 0.8002 0.0000
0.5000 0.5000 0.0000
0.0671 0.3606 0.7065
0.2048 0.0000 0.2048
0.3373 0.8373 0.5000
0.3459 0.6394 0.7065
0.6541 0.3606 0.2935
0.6627 0.1627 0.5000
0.7952 0.0000 0.7952
0.9329 0.6394 0.2935
```

---

2.
Crystalline FeP2OsCl at its relaxed geometry. Source: Alexandria via LeMat-Bulk, functional PBE-GGA.

## Properties
As for the space group: P4/mmm (123). Its density of states at the Fermi level is 8.76 states/eV/cell. Its energy relative to the elements, uncorrected is 917.7 meV/atom.

Geometry as POSCAR:
```
FeP2OsCl
1.0
4.5244 0.0000 0.0000
0.0000 4.5244 0.0000
0.0000 0.0000 5.0561
Fe P Os Cl
1 2 1 1
direct
0.0000 0.0000 0.0000
0.0000 0.5000 0.5000
0.5000 0.0000 0.5000
0.5000 0.5000 0.5000
0.5000 0.5000 0.0000
```

---

3.
Crystalline K2NpCdO6 at its relaxed geometry. Source: Alexandria via LeMat-Bulk, functional PBE-GGA.

## Properties
As for the space group: I4/mmm (139). Its density of states at the Fermi level is 8.89 states/eV/cell. Its energy relative to the elements, uncorrected is -1910.7 meV/atom.

Geometry as POSCAR:
```
K2NpCdO6
1.0
-3.0318 3.0318 4.2811
3.0318 -3.0318 4.2811
3.0318 3.0318 -4.2811
K Np Cd O
2 1 1 6
direct
0.2500 0.7500 0.5000
0.7500 0.2500 0.5000
0.0000 0.0000 0.0000
0.5000 0.5000 0.0000
0.2328 0.2328 0.4656
0.2328 0.7672 0.0000
0.2336 0.2336 0.0000
0.7664 0.7664 0.0000
0.7672 0.2328 0.0000
0.7672 0.7672 0.5344
```

---

4.
Crystalline SrAs2WBr at its relaxed geometry. Source: Alexandria via LeMat-Bulk, functional PBE-GGA.

## Properties
As for the space group: P4/mmm (123). Its density of states at the Fermi level is 4.15 states/eV/cell. Its energy relative to the elements, uncorrected is -268.3 meV/atom.

Geometry as POSCAR:
```
SrAs2WBr
1.0
4.8765 0.0000 0.0000
0.0000 4.8765 0.0000
0.0000 0.0000 5.5901
Sr As W Br
1 2 1 1
direct
0.0000 0.0000 0.0000
0.0000 0.5000 0.5000
0.5000 0.0000 0.5000
0.5000 0.5000 0.5000
0.5000 0.5000 0.0000
```

---

5.
Crystalline Cd2PtW at its relaxed geometry. Source: Alexandria via LeMat-Bulk, functional PBE-GGA.

## Properties
As for the space group: R-3m (166). Its density of states at the Fermi level is 4.62 states/eV/cell. The calculated total energy comes out at -4.9166 eV/atom.

Geometry as POSCAR:
```
Cd2PtW
1.0
1.4587 0.8422 9.6415
-1.4587 0.8422 9.6415
0.0000 -1.6844 9.6415
Cd Pt W
2 1 1
direct
0.2481 0.2481 0.2481
0.7519 0.7519 0.7519
0.5000 0.5000 0.5000
0.0000 0.0000 0.0000
```

---

6.
Crystalline RuS at its relaxed geometry. Source: Alexandria via LeMat-Bulk, functional PBE-GGA.

## Properties
As for the space group: I4/m (87). Its density of states at the Fermi level is 5.66 states/eV/cell. Its energy relative to the elements, uncorrected is -154.2 meV/atom.

Geometry as POSCAR:
```
RuS
1.0
-4.8054 4.8054 1.7824
4.8054 -4.8054 1.7824
4.8054 4.8054 -1.7824
Ru S
4 4
direct
0.1459 0.7200 0.8659
0.2800 0.1459 0.4260
0.7200 0.8541 0.5740
0.8541 0.2800 0.1341
0.0868 0.2941 0.3809
0.2941 0.9132 0.2073
0.7059 0.0868 0.7927
0.9132 0.7059 0.6191
```

---

7.
Crystalline Zn2BiSeCl at its relaxed geometry. Source: Alexandria via LeMat-Bulk, functional PBE-GGA.

## Properties
As for the space group: P4/mmm (123). Its density of states at the Fermi level is 4.46 states/eV/cell. Its energy relative to the elements, uncorrected is 303.6 meV/atom.

Geometry as POSCAR:
```
Zn2BiSeCl
1.0
5.5787 0.0000 0.0000
0.0000 5.5787 0.0000
0.0000 0.0000 5.4359
Zn Bi Se Cl
2 1 1 1
direct
0.0000 0.5000 0.0000
0.5000 0.0000 0.0000
0.0000 0.0000 0.0000
0.0000 0.0000 0.5000
0.5000 0.5000 0.5000
```

---

8.
Crystalline Nd2Si3Ru at its relaxed geometry. Source: Alexandria via LeMat-Bulk, functional PBE-GGA.

## Properties
As for the space group: Fmmm (69). Its density of states at the Fermi level is 9.54 states/eV/cell. Its energy relative to the elements, uncorrected is -699.3 meV/atom.

Geometry as POSCAR:
```
Nd2Si3Ru
1.0
0.0000 4.1967 7.1551
4.1614 0.0000 7.1551
4.1614 4.1967 0.0000
Nd Si Ru
4 6 2
direct
0.2446 0.7554 0.2446
0.2500 0.2500 0.2500
0.7500 0.7500 0.7500
0.7554 0.2446 0.7554
0.1650 0.6667 0.8350
0.3324 0.3324 0.6676
0.3333 0.8350 0.6667
0.6667 0.1650 0.3333
0.6676 0.6676 0.3324
0.8350 0.3333 0.1650
0.1665 0.1665 0.8335
0.8335 0.8335 0.1665
```

---

9.
Crystalline Re2Tc2Pt at its relaxed geometry. Source: Alexandria via LeMat-Bulk, functional PBE-GGA.

## Properties
As for the space group: I4/mmm (139). Its density of states at the Fermi level is 3.71 states/eV/cell. The calculated total energy comes out at -9.8012 eV/atom.

Geometry as POSCAR:
```
Re2Tc2Pt
1.0
-1.9407 1.9407 5.6621
1.9407 -1.9407 5.6621
1.9407 1.9407 -5.6621
Re Tc Pt
2 2 1
direct
0.2500 0.7500 0.5000
0.7500 0.2500 0.5000
0.1064 0.1064 0.0000
0.8936 0.8936 0.0000
0.5000 0.5000 0.0000
```

---

10.
Crystalline CsPaSe4 at its relaxed geometry. Source: Alexandria via LeMat-Bulk, functional PBE-GGA.

## Properties
As for the space group: C2/m (12). Its energy relative to the elements, uncorrected is -1041.6 meV/atom.

Geometry as POSCAR:
```
CsPaSe4
1.0
3.9659 -2.7542 0.0000
3.9659 2.7542 0.0000
-0.7009 0.0000 9.4822
Cs Pa Se
1 1 4
direct
0.0000 0.0000 0.0000
0.5000 0.5000 0.5000
0.1189 0.1189 0.4151
0.3998 0.3998 0.2271
0.6002 0.6002 0.7729
0.8811 0.8811 0.5849
```

---

11.
Crystalline AgPt3 at its relaxed geometry. Source: Alexandria via LeMat-Bulk, functional PBE-GGA.

## Properties
As for the space group: P-6m2 (187). Its density of states at the Fermi level is 7.05 states/eV/cell. The calculated total energy comes out at -5.2173 eV/atom.

Geometry as POSCAR:
```
AgPt3
1.0
2.7714 0.0000 0.0000
-1.3857 2.4001 0.0000
0.0000 0.0000 9.6987
Ag Pt
1 3
direct
0.0000 0.0000 0.0000
0.0000 0.0000 0.5000
0.3333 0.6667 0.2526
0.3333 0.6667 0.7474
```

---

12.
Crystalline Na2DySbSe4 at its relaxed geometry. Source: Alexandria via LeMat-Bulk, functional PBE-GGA.

## Properties
As for the space group: P2/m (10). Its energy relative to the elements, uncorrected is -1172.9 meV/atom.

Geometry as POSCAR:
```
Na2DySbSe4
1.0
7.2351 0.0000 0.0000
0.0000 4.1504 0.0000
-2.3909 0.0000 7.0131
Na Dy Sb Se
2 1 1 4
direct
0.0000 0.0000 0.0000
0.5000 0.5000 0.0000
0.0000 0.5000 0.5000
0.5000 0.0000 0.5000
0.2421 0.0000 0.7287
0.2545 0.5000 0.2692
0.7455 0.5000 0.7308
0.7579 0.0000 0.2713
```

---

13.
Crystalline La6TbEr2Th at its relaxed geometry. Source: Alexandria via LeMat-Bulk, functional PBE-GGA.

## Properties
As for the space group: C2/c (15). Its density of states at the Fermi level is 29.03 states/eV/cell. The calculated total energy comes out at -4.9488 eV/atom.

Geometry as POSCAR:
```
La6TbEr2Th
1.0
4.7429 -7.5746 0.0000
4.7429 7.5746 0.0000
-1.4927 0.0000 9.7603
La Tb Er Th
12 2 4 2
direct
0.0076 0.5763 0.1908
0.1022 0.7595 0.5590
0.2405 0.8978 0.9410
0.3012 0.5095 0.3803
0.4237 0.9924 0.3092
0.4905 0.6988 0.1197
0.5095 0.3012 0.8803
0.5763 0.0076 0.6908
0.6988 0.4905 0.6197
0.7595 0.1022 0.0590
0.8978 0.2405 0.4410
0.9924 0.4237 0.8092
0.4069 0.5931 0.7500
0.5931 0.4069 0.2500
0.1967 0.2836 0.0526
0.2836 0.1967 0.5526
0.7164 0.8033 0.4474
0.8033 0.7164 0.9474
0.0322 0.9678 0.2500
0.9678 0.0322 0.7500
```

---

14.
Crystalline Ba2BiN at its relaxed geometry. Source: Alexandria via LeMat-Bulk, functional PBE-GGA.

## Properties
As for the space group: I-42d (122). Its density of states at the Fermi level is 13.21 states/eV/cell. Its energy relative to the elements, uncorrected is -258.1 meV/atom.

Geometry as POSCAR:
```
Ba2BiN
1.0
-4.0245 4.0245 4.4598
4.0245 -4.0245 4.4598
4.0245 4.0245 -4.4598
Ba Bi N
4 2 2
direct
0.0255 0.6250 0.9005
0.3750 0.2755 0.4005
0.7245 0.1250 0.0995
0.8750 0.9745 0.5995
0.2500 0.7500 0.5000
0.5000 0.5000 0.0000
0.0000 0.0000 0.0000
0.7500 0.2500 0.5000
```

---

15.
Crystalline LaCdB at its relaxed geometry. Source: Alexandria via LeMat-Bulk, functional PBE-GGA.

## Properties
As for the space group: P1 (1). Its density of states at the Fermi level is 3.26 states/eV/cell. The calculated total energy comes out at -4.3535 eV/atom.

Geometry as POSCAR:
```
LaCdB
1.0
3.2226 0.0000 0.0000
-1.5853 5.2357 0.0000
-0.0384 -0.3907 7.8342
La Cd B
2 2 2
direct
0.0000 0.0000 0.0000
0.2248 0.4529 0.6337
0.4850 0.9645 0.3810
0.7352 0.4828 0.2214
0.4886 0.9824 0.7015
0.9527 0.9107 0.6643
```

---

16.
Crystalline MnNi7Sn2Sb2 at its relaxed geometry. Source: Alexandria via LeMat-Bulk, functional PBE-GGA.

## Properties
As for the space group: I4/mmm (139). Its density of states at the Fermi level is 9.03 states/eV/cell. Its energy relative to the elements, uncorrected is -102.9 meV/atom.

Geometry as POSCAR:
```
MnNi7Sn2Sb2
1.0
-1.7907 1.7907 15.5224
1.7907 -1.7907 15.5224
1.7907 1.7907 -15.5224
Mn Ni Sn Sb
1 7 2 2
direct
0.0000 0.0000 0.0000
0.0575 0.5575 0.5000
0.3045 0.3045 0.0000
0.4425 0.9425 0.5000
0.5000 0.5000 0.0000
0.5575 0.0575 0.5000
0.6955 0.6955 0.0000
0.9425 0.4425 0.5000
0.2153 0.2153 0.0000
0.7847 0.7847 0.0000
0.3850 0.3850 0.0000
0.6150 0.6150 0.0000
```

---

17.
Crystalline K3CuAu at its relaxed geometry. Source: Alexandria via LeMat-Bulk, functional PBE-GGA.

## Properties
As for the space group: Pm-3m (221). Its density of states at the Fermi level is 6.19 states/eV/cell. The calculated total energy comes out at -1.9145 eV/atom.

Geometry as POSCAR:
```
K3CuAu
1.0
6.2983 0.0000 0.0000
0.0000 6.2983 0.0000
0.0000 0.0000 6.2983
K Cu Au
3 1 1
direct
0.0000 0.0000 0.5000
0.0000 0.5000 0.0000
0.5000 0.0000 0.0000
0.5000 0.5000 0.5000
0.0000 0.0000 0.0000
```

---

18.
Crystalline PrEu2Ag at its relaxed geometry. Source: Alexandria via LeMat-Bulk, functional PBE-GGA.

## Properties
As for the space group: R-3m (166). Its density of states at the Fermi level is 4.46 states/eV/cell. The calculated total energy comes out at -6.9042 eV/atom.

Geometry as POSCAR:
```
PrEu2Ag
1.0
1.8408 1.0628 11.8306
-1.8408 1.0628 11.8306
0.0000 -2.1256 11.8306
Pr Eu Ag
1 2 1
direct
0.0000 0.0000 0.0000
0.0998 0.0998 0.0998
0.9002 0.9002 0.9002
0.5000 0.5000 0.5000
```

---

19.
Crystalline TiP2O2 at its relaxed geometry. Source: Alexandria via LeMat-Bulk, functional PBE-GGA.

## Properties
As for the space group: P4/mmm (123). Its density of states at the Fermi level is 3.36 states/eV/cell. Its energy relative to the elements, uncorrected is -23.1 meV/atom.

Geometry as POSCAR:
```
TiP2O2
1.0
3.5927 0.0000 0.0000
0.0000 3.5927 0.0000
0.0000 0.0000 4.8295
Ti P O
1 2 2
direct
0.0000 0.0000 0.0000
0.0000 0.5000 0.5000
0.5000 0.0000 0.5000
0.5000 0.5000 0.0000
0.5000 0.5000 0.5000
```

---

20.
Crystalline PaAlB at its relaxed geometry. Source: Alexandria via LeMat-Bulk, functional PBE-GGA.

## Properties
As for the space group: I4mm (107). Its density of states at the Fermi level is 3.20 states/eV/cell. The calculated total energy comes out at -6.3925 eV/atom.

Geometry as POSCAR:
```
PaAlB
1.0
-1.4692 1.4692 5.4047
1.4692 -1.4692 5.4047
1.4692 1.4692 -5.4047
Pa Al B
1 1 1
direct
0.0000 0.0000 0.0000
0.7208 0.7208 0.0000
0.3268 0.3268 0.0000
```

---

21.
Crystalline RbSmS2 at its relaxed geometry. Source: Alexandria via LeMat-Bulk, functional PBE-GGA.

## Properties
As for the space group: R3m (160). Its density of states at the Fermi level is 0.00 states/eV/cell. Its energy relative to the elements, uncorrected is -1813.6 meV/atom.

Geometry as POSCAR:
```
RbSmS2
1.0
2.0758 1.1985 7.8340
-2.0758 1.1985 7.8340
0.0000 -2.3970 7.8340
Rb Sm S
1 1 2
direct
0.0000 0.0000 0.0000
0.1693 0.1693 0.1693
0.5675 0.5675 0.5675
0.7713 0.7713 0.7713
```

---

22.
Crystalline InIN2F at its relaxed geometry. Source: Alexandria via LeMat-Bulk, functional PBE-GGA.

## Properties
As for the space group: P4/mmm (123). Its density of states at the Fermi level is 2.09 states/eV/cell. Its energy relative to the elements, uncorrected is 1239.7 meV/atom.

Geometry as POSCAR:
```
InIN2F
1.0
4.3168 0.0000 0.0000
0.0000 4.3168 0.0000
0.0000 0.0000 6.2443
In I N F
1 1 2 1
direct
0.0000 0.0000 0.0000
0.0000 0.0000 0.5000
0.0000 0.5000 0.0000
0.5000 0.0000 0.0000
0.5000 0.5000 0.5000
```